No. 1
## AcPm2Pr6Nd (GGA-PBE)

Data for AcPm2Pr6Nd after structural relaxation.

Total magnetization   0.00 μB per atom
Raw total energy   -4.59 eV per atom
ΔE_f   0.111 eV per atom
Fermi-level density of states   15.09 states/eV/f.u.

Structure (CIF):
```
data_AcPm2Pr6Nd
_chemical_formula_sum 'Ac4 Pm8 Pr24 Nd4'
_cell_length_a 9.436
_cell_length_b 15.778
_cell_length_c 10.017
_cell_angle_alpha 90.00
_cell_angle_beta 96.83
_cell_angle_gamma 90.00
_symmetry_space_group_name_H-M 'C 1 2/c 1'
_symmetry_Int_Tables_number 15
loop_
_symmetry_equiv_pos_as_xyz
'x,y,z'
'-x,-y,-z'
'-x,y,-z+1/2'
'x,-y,z+1/2'
'x+1/2,y+1/2,z'
'-x+1/2,-y+1/2,-z'
'-x+1/2,y+1/2,-z+1/2'
'x+1/2,-y+1/2,z+1/2'
loop_
_atom_site_label
_atom_site_fract_x
_atom_site_fract_y
_atom_site_fract_z
_atom_site_occupancy
Ac1 0.000 0.025 0.250 1
Pm1 0.250 0.056 0.545 1
Pr1 0.066 0.187 0.946 1
Pr2 0.102 0.396 0.118 1
Pr3 0.210 0.229 0.316 1
Nd1 0.000 0.408 0.750 1
```

---

No. 2
## Ac2PmPr5Nd (GGA-PBE)

Data for Ac2PmPr5Nd after structural relaxation.

Total magnetization   0.00 μB per atom
Raw total energy   -4.50 eV per atom
ΔE_f   0.124 eV per atom
Fermi-level density of states   12.80 states/eV/f.u.

Structure (CIF):
```
data_Ac2PmPr5Nd
_chemical_formula_sum 'Ac8 Pm4 Pr20 Nd4'
_cell_length_a 5.924
_cell_length_b 20.992
_cell_length_c 11.089
_cell_angle_alpha 90.00
_cell_angle_beta 90.00
_cell_angle_gamma 90.00
_symmetry_space_group_name_H-M 'C m c 21'
_symmetry_Int_Tables_number 36
loop_
_symmetry_equiv_pos_as_xyz
'x,y,z'
'-x,-y,z+1/2'
'-x,y,z'
'x,-y,z+1/2'
'x+1/2,y+1/2,z'
'-x+1/2,-y+1/2,z+1/2'
'-x+1/2,y+1/2,z'
'x+1/2,-y+1/2,z+1/2'
loop_
_atom_site_label
_atom_site_fract_x
_atom_site_fract_y
_atom_site_fract_z
_atom_site_occupancy
Ac1 0.000 0.113 0.000 1
Ac2 0.000 0.118 0.590 1
Pm1 0.000 0.208 0.276 1
Pr1 0.000 0.019 0.292 1
Pr2 0.000 0.282 0.579 1
Pr3 0.000 0.295 0.970 1
Pr4 0.000 0.393 0.292 1
Pr5 0.000 0.481 0.011 1
Nd1 0.000 0.410 0.731 1
```

---

No. 3
## Ac2Pm4PrNd (GGA-PBE)

Data for Ac2Pm4PrNd after structural relaxation.

Total magnetization   0.00 μB per atom
Raw total energy   -4.22 eV per atom
ΔE_f   0.378 eV per atom
Fermi-level density of states   18.63 states/eV/f.u.

Structure (CIF):
```
data_Ac2Pm4PrNd
_chemical_formula_sum 'Ac8 Pm16 Pr4 Nd4'
_cell_length_a 14.169
_cell_length_b 13.870
_cell_length_c 7.213
_cell_angle_alpha 90.00
_cell_angle_beta 120.58
_cell_angle_gamma 90.00
_symmetry_space_group_name_H-M 'C 1 2/c 1'
_symmetry_Int_Tables_number 15
loop_
_symmetry_equiv_pos_as_xyz
'x,y,z'
'-x,-y,-z'
'-x,y,-z+1/2'
'x,-y,z+1/2'
'x+1/2,y+1/2,z'
'-x+1/2,-y+1/2,-z'
'-x+1/2,y+1/2,-z+1/2'
'x+1/2,-y+1/2,z+1/2'
loop_
_atom_site_label
_atom_site_fract_x
_atom_site_fract_y
_atom_site_fract_z
_atom_site_occupancy
Ac1 0.000 0.000 0.000 1
Ac2 0.250 0.250 0.000 1
Pm1 0.000 0.260 0.016 1
Pm2 0.236 0.492 0.484 1
Pr1 0.250 0.250 0.500 1
Nd1 0.000 0.500 0.000 1
```

---

No. 4
## AcPmPrNd (GGA-PBE)

Data for AcPmPrNd after structural relaxation.

E above lowest polymorph   0.098 eV/atom
Total magnetization   0.00 μB per atom
Raw total energy   -4.47 eV per atom
ΔE_f   0.131 eV per atom
Fermi-level density of states   9.71 states/eV/f.u.

Structure (CIF):
```
data_AcPmPrNd
_chemical_formula_sum 'Ac4 Pm4 Pr4 Nd4'
_cell_length_a 8.446
_cell_length_b 8.446
_cell_length_c 8.446
_cell_angle_alpha 90.00
_cell_angle_beta 90.00
_cell_angle_gamma 90.00
_symmetry_space_group_name_H-M 'F -4 3 m'
_symmetry_Int_Tables_number 216
_symmetry_space_group_name_Hall 'F -4 2 3'
loop_
_atom_site_label
_atom_site_fract_x
_atom_site_fract_y
_atom_site_fract_z
_atom_site_occupancy
Ac1 0.000 0.000 0.000 1
Pm1 0.250 0.250 0.750 1
Pr1 0.000 0.000 0.500 1
Nd1 0.250 0.250 0.250 1
```

---

No. 5
## AcPmPr2Nd4 (GGA-PBE)

Data for AcPmPr2Nd4 after structural relaxation.

Total magnetization   0.00 μB per atom
Raw total energy   -4.32 eV per atom
ΔE_f   0.364 eV per atom
Fermi-level density of states   17.49 states/eV/f.u.

Structure (CIF):
```
data_AcPmPr2Nd4
_chemical_formula_sum 'Ac4 Pm4 Pr8 Nd16'
_cell_length_a 14.098
_cell_length_b 13.633
_cell_length_c 7.131
_cell_angle_alpha 90.00
_cell_angle_beta 120.18
_cell_angle_gamma 90.00
_symmetry_space_group_name_H-M 'C 1 2/c 1'
_symmetry_Int_Tables_number 15
loop_
_symmetry_equiv_pos_as_xyz
'x,y,z'
'-x,-y,-z'
'-x,y,-z+1/2'
'x,-y,z+1/2'
'x+1/2,y+1/2,z'
'-x+1/2,-y+1/2,-z'
'-x+1/2,y+1/2,-z+1/2'
'x+1/2,-y+1/2,z+1/2'
loop_
_atom_site_label
_atom_site_fract_x
_atom_site_fract_y
_atom_site_fract_z
_atom_site_occupancy
Ac1 0.250 0.250 0.000 1
Pm1 0.000 0.000 0.000 1
Pr1 0.000 0.500 0.000 1
Pr2 0.250 0.250 0.500 1
Nd1 0.000 0.248 0.014 1
Nd2 0.248 0.007 0.435 1
```

---

No. 6
## AcPmNdPt2 (GGA-PBE)

Data for AcPmNdPt2 after structural relaxation.

Total magnetization   0.00 μB per atom
Raw total energy   -6.06 eV per atom
ΔE_f   -0.919 eV per atom
Fermi-level density of states   3.94 states/eV/f.u.

Structure (CIF):
```
data_AcPmNdPt2
_chemical_formula_sum 'Ac4 Pm4 Nd4 Pt8'
_cell_length_a 15.400
_cell_length_b 4.648
_cell_length_c 11.481
_cell_angle_alpha 90.00
_cell_angle_beta 131.64
_cell_angle_gamma 90.00
_symmetry_space_group_name_H-M 'C 1 2/m 1'
_symmetry_Int_Tables_number 12
loop_
_symmetry_equiv_pos_as_xyz
'x,y,z'
'-x,-y,-z'
'-x,y,-z'
'x,-y,z'
'x+1/2,y+1/2,z'
'-x+1/2,-y+1/2,-z'
'-x+1/2,y+1/2,-z'
'x+1/2,-y+1/2,z'
loop_
_atom_site_label
_atom_site_fract_x
_atom_site_fract_y
_atom_site_fract_z
_atom_site_occupancy
Ac1 0.045 0.000 0.227 1
Pm1 0.132 0.500 0.548 1
Nd1 0.244 0.500 0.129 1
Pt1 0.100 0.500 0.781 1
Pt2 0.231 0.500 0.384 1
```

---

No. 7
## Ac2PmNdS6 (GGA-PBE)

Data for Ac2PmNdS6 after structural relaxation.

Energy relative to the elements, uncorrected   -20.811 eV per formula unit
Total magnetization   0.00 μB per atom
Raw total energy   -6.33 eV per atom
Fermi-level density of states   0.00 states/eV/f.u.

Structure (CIF):
```
data_Ac2PmNdS6
_chemical_formula_sum 'Ac6 Pm3 Nd3 S18'
_cell_length_a 7.3903
_cell_length_b 7.3903
_cell_length_c 19.0706
_cell_angle_alpha 90.00
_cell_angle_beta 90.00
_cell_angle_gamma 120.00
_symmetry_space_group_name_H-M 'R 3'
_symmetry_Int_Tables_number 146
_symmetry_space_group_name_Hall 'R 3'
loop_
_atom_site_label
_atom_site_fract_x
_atom_site_fract_y
_atom_site_fract_z
_atom_site_occupancy
Ac1 0.0000 0.0000 0.0000 1
Ac2 0.0000 0.0000 0.4997 1
Pm1 0.0000 0.0000 0.7121 1
Nd1 0.0000 0.0000 0.2126 1
S1 0.0574 0.3633 0.2791 1
S2 0.0565 0.6961 0.7787 1
```

---

No. 8
## Ac2PmNd3S6 (GGA-PBE)

Data for Ac2PmNd3S6 after structural relaxation.

Energy relative to the elements, uncorrected   -24.128 eV per formula unit
Total magnetization   0.00 μB per atom
Raw total energy   -6.35 eV per atom
Fermi-level density of states   5.62 states/eV/f.u.

Structure (CIF):
```
data_Ac2PmNd3S6
_chemical_formula_sum 'Ac4 Pm2 Nd6 S12'
_cell_length_a 7.171
_cell_length_b 12.447
_cell_length_c 7.180
_cell_angle_alpha 90.00
_cell_angle_beta 109.58
_cell_angle_gamma 90.00
_symmetry_space_group_name_H-M 'C 1 2/m 1'
_symmetry_Int_Tables_number 12
loop_
_symmetry_equiv_pos_as_xyz
'x,y,z'
'-x,-y,-z'
'-x,y,-z'
'x,-y,z'
'x+1/2,y+1/2,z'
'-x+1/2,-y+1/2,-z'
'-x+1/2,y+1/2,-z'
'x+1/2,-y+1/2,z'
loop_
_atom_site_label
_atom_site_fract_x
_atom_site_fract_y
_atom_site_fract_z
_atom_site_occupancy
Ac1 0.000 0.166 0.000 1
Pm1 0.000 0.500 0.000 1
Nd1 0.000 0.000 0.500 1
Nd2 0.000 0.331 0.500 1
S1 0.237 0.500 0.739 1
S2 0.248 0.338 0.258 1
```